4
Lattice="1.6113 -2.8167 0.0000 1.6113 2.8167 0.0000 0.0000 0.0000 9.0844" Properties=species:S:1:pos:R:3 comment="OsPbCl2 | Alexandria | SCAN | single point on PBEsol structure" e_form_raw_mev_per_atom=534 magnetic_moment_mub_per_fu=0.0 energy_ry_per_atom=-2.9672 pbc="T T T"
Os 0.0000 0.0000 0.0000
Pb 1.6113 0.0000 6.6720
Cl 0.0000 0.0000 4.4764
Cl 1.6113 0.0000 1.6469